An optimized crystal structure of LuNiGeMo, computed with GGA-PBE.

Cell: 6.371 6.371 6.371 Å, 90.00 90.00 90.00°
Space group F-43m (No. 216)
Asymmetric unit:
1 Lu 0.000 0.000 0.000 x4
2 Ni 0.250 0.250 0.750 x4
3 Ge 0.000 0.000 0.500 x4
4 Mo 0.250 0.250 0.250 x4

Values from the calculation:
- relative energy among the computed polymorphs (eV per formula unit) = 0.00